# 1
PBE KMgAl, optimized geometry; ΔH_f (0 K) = 0.1453 eV per atom; density of states at the Fermi level = 2.0 states/eV/cell; excess energy over the best structure of this formula in the dataset = 0.038 eV per atom; final energy = -0.14697 Ry per atom; SG = P2_1/m (11); magnetic moment = 0.00 μB per formula unit
1.0
-4.3158 1.8841 3.2171
0.3565 -4.0625 2.8575
6.2625 2.2541 2.4233
Mg K Al
2 2 2
direct
0.1514 0.2500 0.0657 Mg
0.8486 0.7500 0.9343 Mg
0.2364 0.7500 0.5119 K
0.7636 0.2500 0.4881 K
0.5827 0.2500 0.9408 Al
0.4173 0.7500 0.0592 Al


# 2
PBE AsI, optimized geometry; density of states at the Fermi level = 1.6 states/eV/cell; final energy = -0.19153 Ry per atom; SG = I4mm (107); magnetic moment = 0.00 μB per formula unit; E_form (uncorrected) = 494 meV per atom
1.0
3.5655 0.0000 0.0000
0.0000 3.5655 0.0000
0.0000 0.0000 10.7565
As I
2 2
direct
0.5000 0.5000 0.5925 As
0.0000 0.0000 0.0925 As
0.0000 0.0000 0.8613 I
0.5000 0.5000 0.3613 I


# 3
PBE TcRhO4, optimized geometry; density of states at the Fermi level = 5.1 states/eV/cell; final energy = -0.54051 Ry per atom; SG = I4_1md (109); magnetic moment = 0.89 μB per formula unit; E_form (uncorrected) = -1096 meV per atom
1.0
-0.5228 -5.4105 1.1899
4.4364 0.9834 -3.2115
0.6381 2.7899 4.7720
Tc O Rh
2 8 2
direct
0.4986 0.9986 0.5000 Tc
0.7486 0.7486 0.0000 Tc
0.2569 0.9475 0.6906 O
0.1898 0.9937 0.1961 O
0.7976 0.9937 0.8039 O
0.3162 0.5069 0.8094 O
0.2569 0.5662 0.3094 O
0.7437 0.4397 0.6961 O
0.7437 0.0476 0.3039 O
0.6975 0.5069 0.1906 O
0.0003 0.5003 0.5000 Rh
0.2503 0.2503 0.0000 Rh


# 4
PBE SrYPd, optimized geometry; ΔH_f (0 K) = -0.4100 eV per atom; density of states at the Fermi level = 4.9 states/eV/cell; excess energy over the best structure of this formula in the dataset = 0.046 eV per atom; final energy = -0.35693 Ry per atom; SG = Cm (8); magnetic moment = 0.00 μB per formula unit
1.0
-2.4523 3.0631 -1.2225
-3.9455 0.0597 1.1573
1.6070 6.2651 12.4811
Y Sr Pd
2 2 2
direct
0.2791 0.1417 0.4418 Y
0.5357 0.6283 0.2124 Y
0.1240 0.4514 0.9745 Sr
0.3693 0.9619 0.7109 Sr
0.6539 0.3928 0.5646 Pd
0.9046 0.8907 0.3187 Pd


# 5
PBE Tb6ErTm12, optimized geometry; ΔH_f (0 K) = 0.1249 eV per atom; density of states at the Fermi level = 27.2 states/eV/cell; excess energy over the best structure of this formula in the dataset = 0.000 eV per atom; final energy = -0.32351 Ry per atom; SG = R-3m (166); magnetic moment = 0.00 μB per formula unit
1.0
8.2678 1.2717 1.5235
0.0036 8.3650 1.5235
0.0036 0.0042 8.5026
Tb Tm Er
6 12 1
direct
0.7680 0.7680 0.1609 Tb
0.8391 0.2320 0.2320 Tb
0.2320 0.2320 0.8391 Tb
0.7680 0.1609 0.7680 Tb
0.1609 0.7680 0.7680 Tb
0.2320 0.8391 0.2320 Tb
0.1358 0.4876 0.1358 Tm
0.5141 0.1953 0.5141 Tm
0.4876 0.1358 0.1358 Tm
0.5124 0.8642 0.8642 Tm
0.4859 0.4859 0.8047 Tm
0.1358 0.1358 0.4876 Tm
0.8642 0.5124 0.8642 Tm
0.4859 0.8047 0.4859 Tm
0.5141 0.5141 0.1953 Tm
0.8642 0.8642 0.5124 Tm
0.1953 0.5141 0.5141 Tm
0.8047 0.4859 0.4859 Tm
0.0000 0.0000 0.0000 Er


# 6
PBE Pm3GePb2, optimized geometry; ΔH_f (0 K) = -0.5507 eV per atom; density of states at the Fermi level = 19.0 states/eV/cell; excess energy over the best structure of this formula in the dataset = 0.000 eV per atom; final energy = -0.36247 Ry per atom; SG = Pnma (62); magnetic moment = 0.00 μB per formula unit
1.0
4.4798 0.0000 0.0000
0.0000 12.2930 0.0000
0.0000 0.0000 12.9721
Ge Pm Pb
4 12 8
direct
0.7500 0.8721 0.8760 Ge
0.2500 0.1279 0.1240 Ge
0.2500 0.3721 0.6240 Ge
0.7500 0.6279 0.3760 Ge
0.7500 0.5462 0.6129 Pm
0.7500 0.2161 0.2563 Pm
0.2500 0.1188 0.5561 Pm
0.2500 0.3812 0.0561 Pm
0.7500 0.8812 0.4439 Pm
0.2500 0.7839 0.7437 Pm
0.7500 0.6188 0.9439 Pm
0.7500 0.2839 0.7563 Pm
0.2500 0.7161 0.2437 Pm
0.2500 0.0462 0.8871 Pm
0.2500 0.4538 0.3871 Pm
0.7500 0.9538 0.1129 Pm
0.2500 0.9987 0.3111 Pb
0.2500 0.5013 0.8111 Pb
0.7500 0.2908 0.4883 Pb
0.7500 0.4987 0.1889 Pb
0.7500 0.2092 0.9883 Pb
0.2500 0.7092 0.5117 Pb
0.7500 0.0013 0.6889 Pb
0.2500 0.7908 0.0117 Pb


# 7
PBE Tm2ZrPaP4, optimized geometry; ΔH_f (0 K) = -1.4620 eV per atom; density of states at the Fermi level = 4.8 states/eV/cell; final energy = -0.55420 Ry per atom; SG = P2/m (10); magnetic moment = 0.00 μB per formula unit
1.0
3.8983 0.0000 0.0000
0.0000 6.7264 0.1198
0.0000 -2.3477 6.3400
P Pa Zr Tm
4 1 1 2
direct
0.0000 0.2446 0.7522 P
0.0000 0.7554 0.2478 P
0.5000 0.2434 0.2424 P
0.5000 0.7565 0.7576 P
0.5000 0.5000 0.0000 Pa
0.0000 0.0000 0.0000 Zr
0.5000 0.0000 0.5000 Tm
0.0000 0.5000 0.5000 Tm


# 8
PBE Mg7Zn3, optimized geometry; ΔH_f (0 K) = -0.0368 eV per atom; density of states at the Fermi level = 8.3 states/eV/cell; excess energy over the best structure of this formula in the dataset = 0.009 eV per atom; final energy = -0.11284 Ry per atom; SG = P6_3mc (186); magnetic moment = 0.00 μB per formula unit
1.0
-3.4188 -4.2249 3.4137
-0.2665 -5.2802 -6.8018
6.4431 -0.6205 5.6848
Mg Zn
14 6
direct
0.6673 0.5327 0.4673 Mg
0.9476 0.2454 0.1227 Mg
0.4476 0.1227 0.8773 Mg
0.1673 0.4673 0.9346 Mg
0.1673 0.4673 0.5327 Mg
0.4476 0.1227 0.2454 Mg
0.6673 0.5327 0.0654 Mg
0.1673 0.0654 0.5327 Mg
0.5183 0.3333 0.6667 Mg
0.0183 0.6667 0.3333 Mg
0.9476 0.8773 0.1227 Mg
0.4476 0.7546 0.8773 Mg
0.9476 0.8773 0.7546 Mg
0.6673 0.9346 0.4673 Mg
0.8484 0.2156 0.7844 Zn
0.3484 0.7844 0.5689 Zn
0.8484 0.5689 0.7844 Zn
0.3484 0.4311 0.2156 Zn
0.8484 0.2156 0.4311 Zn
0.3484 0.7844 0.2156 Zn


# 9
PBE Co2Pt3Rh, optimized geometry; ΔH_f (0 K) = -0.0669 eV per atom; density of states at the Fermi level = 17.4 states/eV/cell; final energy = -0.49105 Ry per atom; SG = Cmmm (65); magnetic moment = 5.66 μB per formula unit
1.0
3.8416 0.0000 0.0184
1.9208 5.7510 0.0092
-0.0352 0.0000 7.6291
Rh Co Pt
2 4 6
direct
0.6627 0.6745 0.0000 Rh
0.3373 0.3255 0.0000 Rh
0.3329 0.3342 0.5000 Co
0.0000 0.0000 0.0000 Co
0.6671 0.6658 0.5000 Co
0.0000 0.0000 0.5000 Co
0.8347 0.3315 0.7406 Pt
0.8338 0.3315 0.2594 Pt
0.5004 0.0000 0.7398 Pt
0.1662 0.6685 0.7406 Pt
0.4996 0.0000 0.2602 Pt
0.1653 0.6685 0.2594 Pt


# 10
PBE LaPm3Ga8, optimized geometry; ΔH_f (0 K) = -0.5760 eV per atom; density of states at the Fermi level = 8.0 states/eV/cell; final energy = -0.30812 Ry per atom; SG = R3m (160); magnetic moment = 0.00 μB per formula unit
1.0
-2.9837 3.1215 3.5956
0.0656 -1.2020 5.4887
6.2841 6.2589 4.1719
Pm Ga La
3 8 1
direct
0.5003 0.5003 0.4991 Pm
0.9993 0.9993 0.0022 Pm
0.3753 0.3753 0.8742 Pm
0.6878 0.6878 0.9367 Ga
0.4383 0.9392 0.1843 Ga
0.4383 0.4383 0.1843 Ga
0.9392 0.4383 0.1843 Ga
0.4360 0.9367 0.6906 Ga
0.1872 0.1872 0.4384 Ga
0.9367 0.4360 0.6906 Ga
0.9367 0.9367 0.6906 Ga
0.8751 0.8751 0.3748 La


# 11
PBE Dy3ErSb4, optimized geometry; density of states at the Fermi level = 0.5 states/eV/cell; final energy = -0.40315 Ry per atom; SG = Pm-3m (221); magnetic moment = 0.00 μB per formula unit; E_form (uncorrected) = -1128 meV per atom
1.0
6.1830 0.0000 0.0000
0.0000 6.1830 0.0000
0.0000 0.0000 6.1830
Dy Er Sb
3 1 4
direct
0.5000 0.5000 0.0000 Dy
0.5000 0.0000 0.5000 Dy
0.0000 0.5000 0.5000 Dy
0.0000 0.0000 0.0000 Er
0.0000 0.5000 0.0000 Sb
0.5000 0.5000 0.5000 Sb
0.0000 0.0000 0.5000 Sb
0.5000 0.0000 0.0000 Sb


# 12
PBE BeGaIr2, optimized geometry; ΔH_f (0 K) = -0.4864 eV per atom; density of states at the Fermi level = 2.3 states/eV/cell; excess energy over the best structure of this formula in the dataset = 0.000 eV per atom; final energy = -0.48547 Ry per atom; SG = P4/mmm (123); magnetic moment = 0.00 μB per formula unit
1.0
-2.5284 1.3851 -0.5080
-1.3893 -1.8963 1.7446
1.0027 3.5310 4.6365
Ir Be Ga
2 1 1
direct
0.0000 0.0000 0.7673 Ir
0.0000 0.0000 0.2327 Ir
0.5000 0.5000 0.0000 Be
0.5000 0.5000 0.5000 Ga


Q: Look up the magnetic moment of the fourth one.
A: 0.00 μB per formula unit


Q: Among the records above, which one has the highest magnetic moment?
A: Co2Pt3Rh


Q: Which formula does entry 12 have?
A: BeGaIr2